DFT (GGA-PBEsol) results for a relaxed structure of Li2Zn.

Structure (CIF):
```
data_Li2Zn
_symmetry_space_group_name_H-M 'I m m m'
_symmetry_Int_Tables_number 71
_symmetry_space_group_name_Hall '-I 2 2'
_cell_length_a 2.707
_cell_length_b 3.976
_cell_length_c 8.413
_cell_angle_alpha 90.00
_cell_angle_beta 90.00
_cell_angle_gamma 90.00
loop_
_atom_site_label
_atom_site_fract_x
_atom_site_fract_y
_atom_site_fract_z
_atom_site_occupancy
Li1 0.000 0.000 0.160 1
Zn1 0.000 0.000 0.500 1
```

Computed properties:
* spin magnetization: 0.0 μB per formula unit
* energy of formation from the pure elements: -0.3 eV/f.u.
* density: 2.9 Mg/m³